# 1
The following is a PBE calculation of Ba9Nb2CN10O after structural relaxation, from the Alexandria database.

a b c (Å): 8.1179 9.7777 12.7777
angles (deg): 76.03 85.71 87.77
Closest atoms and distances in Å follow each position.
Element x y z (fractional)
Ba1 0.0015 0.3249 0.4181  5 N 2.71-2.99
Ba2 0.0314 0.3777 0.8730  1 O 2.78, 4 N 2.88-3.06
Ba3 0.0363 0.0687 0.7247  5 N 2.86-2.95, 1 O 2.90
Ba4 0.2354 0.2906 0.1579  5 N 2.71-3.00
Ba5 0.2433 0.9821 0.9960  1 O 2.68, 3 N 2.69-2.92
Ba6 0.3259 0.4182 0.6180  3 N 2.67-2.86, 1 O 2.96
Ba7 0.4653 0.7591 0.6184  3 N 2.67-2.82
Ba8 0.4846 0.9309 0.2764  1 O 2.64, 3 N 2.64-2.96
Ba9 0.4873 0.6172 0.1076  5 N 2.81-3.12, 1 O 2.99
Ba10 0.5127 0.3828 0.8924  5 N 2.81-3.12, 1 O 2.99
Ba11 0.5154 0.0691 0.7236  1 O 2.64, 3 N 2.64-2.96
Ba12 0.5347 0.2409 0.3816  3 N 2.67-2.82
Ba13 0.6741 0.5818 0.3820  3 N 2.67-2.86, 1 O 2.96
Ba14 0.7567 0.0179 0.0040  1 O 2.68, 3 N 2.69-2.92
Ba15 0.7646 0.7094 0.8421  5 N 2.71-3.00
Ba16 0.9637 0.9313 0.2753  5 N 2.86-2.95, 1 O 2.90
Ba17 0.9686 0.6223 0.1270  1 O 2.78, 4 N 2.88-3.06
Ba18 0.9985 0.6751 0.5819  5 N 2.71-2.99
Nb1 0.2306 0.6366 0.3365  4 N 1.95-2.00
Nb2 0.2315 0.7003 0.8786  4 N 1.97-2.03
Nb3 0.7685 0.2997 0.1214  4 N 1.97-2.03
Nb4 0.7694 0.3634 0.6635  4 N 1.95-2.00
C1 0.2403 0.0606 0.4660  2 N 1.24
C2 0.7597 0.9394 0.5340  2 N 1.24
N1 0.0051 0.3653 0.6204  1 Nb 1.95
N2 0.0423 0.8281 0.9136  1 Nb 2.03
N3 0.2001 0.0796 0.3713  1 C 1.24
N4 0.2115 0.6281 0.7470  1 Nb 1.99
N5 0.2379 0.5308 0.9984  1 Nb 1.97
N6 0.2580 0.7955 0.2053  1 Nb 2.00
N7 0.2868 0.0509 0.5580  1 C 1.24
N8 0.3021 0.4554 0.3000  1 Nb 1.99
N9 0.3588 0.6735 0.4526  1 Nb 1.98
N10 0.4383 0.8057 0.8767  1 Nb 2.00
N11 0.5617 0.1943 0.1233  1 Nb 2.00
N12 0.6412 0.3265 0.5474  1 Nb 1.98
N13 0.6979 0.5446 0.7000  1 Nb 1.99
N14 0.7132 0.9491 0.4420  1 C 1.24
N15 0.7420 0.2045 0.7947  1 Nb 2.00
N16 0.7621 0.4692 0.0016  1 Nb 1.97
N17 0.7885 0.3719 0.2530  1 Nb 1.99
N18 0.7999 0.9204 0.6287  1 C 1.24
N19 0.9577 0.1719 0.0864  1 Nb 2.03
N20 0.9949 0.6347 0.3796  1 Nb 1.95
O1 0.2815 0.1979 0.8216  5 Ba 2.64-2.96
O2 0.7185 0.8021 0.1784  5 Ba 2.64-2.96

Computed properties:
Formation energy without anion corrections in kJ/mol of atoms: -95.1
Total DFT energy (no corrections) in eV/atom: -6.8498
SG: P-1, No. 2



# 2
The following is a PBE calculation of AlSi4Br after structural relaxation, from the Alexandria database.

a b c (Å): 5.3098 5.3098 5.3098
angles (deg): 60.00 60.00 60.00
Closest atoms and distances in Å follow each position.
Element x y z (fractional)
Al1 0.0000 0.0000 0.0000  12 Si 3.11, 4 Br 3.25
Si1 0.3750 0.3750 0.3750  6 Si 2.65-2.66
Si2 0.3750 0.3750 0.8751  6 Si 2.65-2.66
Si3 0.3750 0.8751 0.3750  6 Si 2.65-2.66
Si4 0.8751 0.3750 0.3750  6 Si 2.65-2.66
Br1 0.7500 0.7500 0.7500  12 Si 3.11, 4 Al 3.25

Computed properties:
Formation energy without anion corrections in kJ/mol of atoms: 53.0
Total DFT energy (no corrections) in eV/atom: -3.9689
SG: F-43m, No. 216



# 3
The following is a PBE calculation of Tm2CdNi9 after structural relaxation, from the Alexandria database.

a b c (Å): 8.4833 8.4833 8.4833
angles (deg): 33.68 33.68 33.68
Closest atoms and distances in Å follow each position.
Element x y z (fractional)
Tm1 0.1363 0.1363 0.1363  12 Ni 2.77-3.08
Tm2 0.8637 0.8637 0.8637  12 Ni 2.77-3.08
Cd1 0.0000 0.0000 0.0000  18 Ni 2.84-3.16
Ni1 0.0809 0.5837 0.5837  7 Ni 2.43-2.47
Ni2 0.3331 0.3331 0.3331  6 Ni 2.43-2.45
Ni3 0.4163 0.4163 0.9191  7 Ni 2.43-2.47
Ni4 0.4163 0.9191 0.4163  7 Ni 2.43-2.47
Ni5 0.5000 0.5000 0.5000  6 Ni 2.47
Ni6 0.5837 0.0809 0.5837  7 Ni 2.43-2.47
Ni7 0.5837 0.5837 0.0809  7 Ni 2.43-2.47
Ni8 0.6669 0.6669 0.6669  6 Ni 2.43-2.45
Ni9 0.9191 0.4163 0.4163  7 Ni 2.43-2.47

Computed properties:
DFT formation energy in meV per atom: -261
Total DFT energy (no corrections) in eV/atom: -5.4184
SG: R-3m, No. 166



# 4
The following is a PBE calculation of POsRh2 after structural relaxation, from the Alexandria database.

a b c (Å): 3.7480 3.7480 3.9071
angles (deg): 90.00 90.00 90.00
Closest atoms and distances in Å follow each position.
Element x y z (fractional)
P1 0.0000 0.0000 0.0000  4 Os 2.65, 8 Rh 2.71
Os1 0.5000 0.5000 0.0000  4 P 2.65, 8 Rh 2.71
Rh1 0.0000 0.5000 0.5000  4 Rh 2.65, 4 Os 2.71, 4 P 2.71
Rh2 0.5000 0.0000 0.5000  4 Rh 2.65, 4 Os 2.71, 4 P 2.71

Computed properties:
DFT formation energy in meV per atom: 147
Total DFT energy (no corrections) in eV/atom: -7.6891
SG: P4/mmm, No. 123



# 5
The following is a PBE calculation of Ba2SrAc2Au5 after structural relaxation, from the Alexandria database.

a b c (Å): 12.7872 12.7872 4.0372
angles (deg): 90.00 90.00 90.00
Closest atoms and distances in Å follow each position.
Element x y z (fractional)
Ba1 0.1678 0.3322 0.0000  6 Au 3.52-3.64, 3 Ac 3.60-3.88
Ba2 0.3322 0.8322 0.0000  6 Au 3.52-3.64, 3 Ac 3.60-3.88
Ba3 0.6678 0.1678 0.0000  6 Au 3.52-3.64, 3 Ac 3.60-3.88
Ba4 0.8322 0.6678 0.0000  6 Au 3.52-3.64, 3 Ac 3.60-3.88
Sr1 0.0000 0.0000 0.0000  8 Au 3.31
Sr2 0.5000 0.5000 0.0000  8 Au 3.31
Ac1 0.1333 0.6333 0.0000  6 Au 3.14-3.19
Ac2 0.3667 0.1333 0.0000  6 Au 3.14-3.19
Ac3 0.6333 0.8667 0.0000  6 Au 3.14-3.19
Ac4 0.8667 0.3667 0.0000  6 Au 3.14-3.19
Au1 0.0000 0.5000 0.5000  4 Ac 3.14
Au2 0.1066 0.8243 0.5000  2 Ac 3.19, 2 Sr 3.31, 2 Ba 3.52
Au3 0.1757 0.1066 0.5000  2 Ac 3.19, 2 Sr 3.31, 2 Ba 3.52
Au4 0.3243 0.6066 0.5000  2 Ac 3.19, 2 Sr 3.31, 2 Ba 3.52
Au5 0.3934 0.3243 0.5000  2 Ac 3.19, 2 Sr 3.31, 2 Ba 3.52
Au6 0.5000 0.0000 0.5000  4 Ac 3.14
Au7 0.6066 0.6757 0.5000  2 Ac 3.19, 2 Sr 3.31, 2 Ba 3.52
Au8 0.6757 0.3934 0.5000  2 Ac 3.19, 2 Sr 3.31, 2 Ba 3.52
Au9 0.8243 0.8934 0.5000  2 Ac 3.19, 2 Sr 3.31, 2 Ba 3.52
Au10 0.8934 0.1757 0.5000  2 Ac 3.19, 2 Sr 3.31, 2 Ba 3.52

Computed properties:
DFT formation energy in meV per atom: -606
Total DFT energy (no corrections) in eV/atom: -3.6187
SG: P4/mbm, No. 127



# 6
The following is a PBE calculation of YScCdPb after structural relaxation, from the Alexandria database.

a b c (Å): 5.2171 5.2171 5.2171
angles (deg): 60.00 60.00 60.00
Closest atoms and distances in Å follow each position.
Element x y z (fractional)
Y1 0.0000 0.0000 0.0000  4 Cd 3.19, 4 Pb 3.19
Sc1 0.5000 0.5000 0.5000  4 Cd 3.19, 4 Pb 3.19
Cd1 0.2500 0.2500 0.2500  4 Sc 3.19, 4 Y 3.19
Pb1 0.7500 0.7500 0.7500  4 Sc 3.19, 4 Y 3.19

Computed properties:
DFT formation energy in meV per atom: -348
Total DFT energy (no corrections) in eV/atom: -4.7031
SG: F-43m, No. 216



# 7
The following is a PBE calculation of LiAc2Eu after structural relaxation, from the Alexandria database.

a b c (Å): 6.0252 6.0252 6.0252
angles (deg): 60.00 60.00 60.00
Closest atoms and distances in Å follow each position.
Element x y z (fractional)
Li1 0.0000 0.0000 0.0000  8 Ac 3.69
Ac1 0.2500 0.2500 0.2500  4 Li 3.69, 4 Eu 3.69
Ac2 0.7500 0.7500 0.7500  4 Li 3.69, 4 Eu 3.69
Eu1 0.5000 0.5000 0.5000  8 Ac 3.69

Computed properties:
DFT formation energy in meV per atom: 139
Total DFT energy (no corrections) in eV/atom: -4.9626
E above lowest polymorph in meV per atom: 66.5
SG: Fm-3m, No. 225



# 8
The following is a PBE calculation of Li2LuMg after structural relaxation, from the Alexandria database.

a b c (Å): 3.5543 3.5543 7.0670
angles (deg): 90.00 90.00 90.00
Closest atoms and distances in Å follow each position.
Element x y z (fractional)
Li1 0.0000 0.0000 0.2214  4 Mg 2.96, 1 Li 3.13, 4 Lu 3.19
Li2 0.0000 0.0000 0.7786  4 Mg 2.96, 1 Li 3.13, 4 Lu 3.19
Lu1 0.5000 0.5000 0.5000  8 Li 3.19, 2 Mg 3.53, 4 Lu 3.55
Mg1 0.5000 0.5000 0.0000  8 Li 2.96

Computed properties:
DFT formation energy in meV per atom: 72
Total DFT energy (no corrections) in eV/atom: -2.4136
E above lowest polymorph in meV per atom: 0.0
SG: P4/mmm, No. 123



# 9
The following is a PBE calculation of Fe2CuNi4 after structural relaxation, from the Alexandria database.

a b c (Å): 8.5464 8.5464 8.5464
angles (deg): 163.44 153.35 31.54
Closest atoms and distances in Å follow each position.
Element x y z (fractional)
Fe1 0.0808 0.0808 0.0000  3 Fe 2.46-2.66, 6 Ni 2.54-2.67, 4 Cu 2.68
Fe2 0.9192 0.9192 0.0000  3 Fe 2.46-2.66, 6 Ni 2.54-2.67, 4 Cu 2.68
Cu1 0.5000 0.5000 0.0000  2 Ni 2.35, 2 Cu 2.46
Ni1 0.2246 0.7246 0.5000  10 Ni 2.38-2.50, 2 Fe 2.67
Ni2 0.3569 0.3569 0.0000  1 Cu 2.35, 6 Ni 2.38-2.50, 4 Fe 2.54
Ni3 0.6431 0.6431 0.0000  1 Cu 2.35, 6 Ni 2.38-2.50, 4 Fe 2.54
Ni4 0.7754 0.2754 0.5000  10 Ni 2.38-2.50, 2 Fe 2.67

Computed properties:
DFT formation energy in meV per atom: 62
Total DFT energy (no corrections) in eV/atom: -6.2450
E above lowest polymorph in meV per atom: 0.0
SG: Immm, No. 71



# 10
The following is a PBE calculation of ScCu3Au after structural relaxation, from the Alexandria database.

a b c (Å): 4.7147 4.7147 4.7147
angles (deg): 90.00 90.00 90.00
Closest atoms and distances in Å follow each position.
Element x y z (fractional)
Sc1 0.0000 0.0000 0.0000  12 Cu 3.33
Cu1 0.0000 0.5000 0.5000  2 Au 2.36
Cu2 0.5000 0.0000 0.5000  2 Au 2.36
Cu3 0.5000 0.5000 0.0000  2 Au 2.36
Au1 0.5000 0.5000 0.5000  6 Cu 2.36

Computed properties:
DFT formation energy in meV per atom: 547
Total DFT energy (no corrections) in eV/atom: -3.8325
E above lowest polymorph in meV per atom: 0.0
SG: Pm-3m, No. 221



# 11
The following is a PBE calculation of BeIr4Cl after structural relaxation, from the Alexandria database.

a b c (Å): 5.2333 5.2333 5.2333
angles (deg): 60.00 60.00 60.00
Closest atoms and distances in Å follow each position.
Element x y z (fractional)
Be1 0.0000 0.0000 0.0000  12 Ir 3.07, 4 Cl 3.20
Ir1 0.3747 0.3747 0.3747  6 Ir 2.61-2.62
Ir2 0.3747 0.3747 0.8760  6 Ir 2.61-2.62
Ir3 0.3747 0.8760 0.3747  6 Ir 2.61-2.62
Ir4 0.8760 0.3747 0.3747  6 Ir 2.61-2.62
Cl1 0.7500 0.7500 0.7500  12 Ir 3.07, 4 Be 3.20

Computed properties:
Formation energy without anion corrections in kJ/mol of atoms: 107.2
Total DFT energy (no corrections) in eV/atom: -5.7246
SG: F-43m, No. 216



# 12
The following is a PBE calculation of Lu2CoBr after structural relaxation, from the Alexandria database.

a b c (Å): 7.8129 7.8129 7.8129
angles (deg): 27.98 27.98 27.98
Closest atoms and distances in Å follow each position.
Element x y z (fractional)
Lu1 0.2293 0.2293 0.2293  3 Co 2.60
Lu2 0.7707 0.7707 0.7707  3 Co 2.60
Co1 0.5000 0.5000 0.5000  6 Lu 2.60
Br1 0.0000 0.0000 0.0000  6 Lu 3.20

Computed properties:
Formation energy without anion corrections in kJ/mol of atoms: -68.8
Total DFT energy (no corrections) in eV/atom: -5.1682
SG: R-3m, No. 166



Which of these has the lowest total DFT energy (no corrections)? POsRh2